Here is an optimized crystal structure of Ba2ScRh3O12 from Alexandria via LeMat-Bulk. Energies are from PBE.

Computed properties:
Space-group type: R-3m
Total magnetic moment: 1.7 μB per formula unit
Final energy: -115.88 eV/cell

a = 7.0653 Å, b = 7.0653 Å, c = 7.0653 Å
α = 61.48°, β = 61.48°, γ = 61.48°
Fractional positions:
Ba 0.1179 0.1179 0.1179
Ba 0.8821 0.8821 0.8821
Sc 0.5000 0.5000 0.5000
Rh 0.0000 0.5000 0.5000
Rh 0.5000 0.0000 0.5000
Rh 0.5000 0.5000 0.0000
O 0.1407 0.5990 0.5990
O 0.1836 0.1836 0.6032
O 0.1836 0.6032 0.1836
O 0.3968 0.8164 0.8164
O 0.4010 0.4010 0.8593
O 0.4010 0.8593 0.4010
O 0.5990 0.1407 0.5990
O 0.5990 0.5990 0.1407
O 0.6032 0.1836 0.1836
O 0.8164 0.3968 0.8164
O 0.8164 0.8164 0.3968
O 0.8593 0.4010 0.4010